This record from Alexandria via LeMat-Bulk describes LaY9Ho2 after structural relaxation. The functional is PBE.

It has space group P4/mmm (No. 123), with a = 5.063 Å, b = 5.063 Å, c = 15.209 Å, α = 90.00°, β = 90.00° and γ = 90.00°. The asymmetric unit holds La at (0.000, 0.000, 0.000), Y at (0.000, 0.500, 0.171), Y at (0.000, 0.500, 0.500), Y at (0.500, 0.500, 0.000), Y at (0.500, 0.500, 0.336) and Ho at (0.000, 0.000, 0.335).

The calculation puts the formation energy at 0.352 eV/f.u. The magnetic moment is 0.0 μB per cell. The calculation puts the calculated volume at 32.490 A^3/atom. The calculation puts the final energy at -5.992 eV per atom.